Entry from Alexandria: ZnTc2N after structural relaxation (PBE-GGA).

Total magnetization = 0.000 μB/f.u.
Final energy = -7.34 eV/atom
Formation energy (no corrections) = 0.25 eV per atom
Distance to the lowest polymorph of the same formula = 0.0000 eV/atom

Cell: 6.563 6.563 6.563 Å, 27.67 27.67 27.67°
Atoms (fractional coordinates):
Zn  0.000  0.000  0.000
Tc  0.218  0.218  0.218
Tc  0.447  0.447  0.447
N  0.831  0.831  0.831